Record 1
Computed, not measured: ErPaSi after structural relaxation at the PBE-GGA level of DFT.

Geometry as CIF:
```
data_ErPaSi
_cell_length_a 7.869
_cell_length_b 12.627
_cell_length_c 12.937
_cell_angle_alpha 90.00
_cell_angle_beta 90.00
_cell_angle_gamma 90.00
_space_group_name_H-M_alt 'F d d d'
_space_group_IT_number 70
loop_
_space_group_symop_operation_xyz
'x,y,z'
'-x,-y,-z'
'-x+1/4,-y+1/4,z'
'x+1/4,y+1/4,-z'
'x,-y+1/4,-z+1/4'
'-x,y+1/4,z+1/4'
'-x+1/4,y,-z+1/4'
'x+1/4,-y,z+1/4'
'x,y+1/2,z+1/2'
'-x,-y+1/2,-z+1/2'
'-x+1/4,-y+3/4,z+1/2'
'x+1/4,y+3/4,-z+1/2'
'x,-y+3/4,-z+3/4'
'-x,y+3/4,z+3/4'
'-x+1/4,y+1/2,-z+3/4'
'x+1/4,-y+1/2,z+3/4'
'x+1/2,y,z+1/2'
'-x+1/2,-y,-z+1/2'
'-x+3/4,-y+1/4,z+1/2'
'x+3/4,y+1/4,-z+1/2'
'x+1/2,-y+1/4,-z+3/4'
'-x+1/2,y+1/4,z+3/4'
'-x+3/4,y,-z+3/4'
'x+3/4,-y,z+3/4'
'x+1/2,y+1/2,z'
'-x+1/2,-y+1/2,-z'
'-x+3/4,-y+3/4,z'
'x+3/4,y+3/4,-z'
'x+1/2,-y+3/4,-z+1/4'
'-x+1/2,y+3/4,z+1/4'
'-x+3/4,y+1/2,-z+1/4'
'x+3/4,-y+1/2,z+1/4'
loop_
_atom_site_label
_atom_site_fract_x
_atom_site_fract_y
_atom_site_fract_z
Er1 0.000 0.000 0.000
Pa1 0.125 0.125 0.523
Si1 0.125 0.326 0.625
```

Summary:
Size of the total moment   0.132 μB/atom
Energy above the most stable polymorph in this dataset   0.000 eV/atom
Energy relative to the elements, uncorrected   -0.066 eV per atom
Raw total energy   -6.560 eV/atom

***

Record 2
Computed, not measured: ErPa2Si6 after structural relaxation at the PBE-GGA level of DFT.

Geometry as CIF:
```
data_ErPa2Si6
_cell_length_a 7.0234
_cell_length_b 7.0234
_cell_length_c 3.9079
_cell_angle_alpha 90.00
_cell_angle_beta 90.00
_cell_angle_gamma 120.00
_space_group_name_H-M_alt 'P 6/m m m'
_space_group_IT_number 191
_space_group_name_Hall '-P 6 2'
loop_
_atom_site_label
_atom_site_fract_x
_atom_site_fract_y
_atom_site_fract_z
Er1 0.0000 0.0000 0.0000
Pa1 0.3333 0.6667 0.0000
Si1 0.0000 0.3337 0.5000
```

Summary:
Size of the total moment   0.000 μB/atom
Energy relative to the elements, uncorrected   -0.541 eV per atom
Raw total energy   -6.773 eV/atom